# 1
DFT (PBE) results for an optimized crystal structure of La3Sm8Dy.

The structure belongs to space group I-42m (No. 121); the cell edges are 8.883, 8.883 and 11.487 Å and the angles 90.00°, 90.00° and 90.00°. Symmetry generates all atoms from La at (0.000, 0.000, 0.000), La at (0.000, 0.500, 0.250), Sm at (0.122, 0.122, 0.748), Sm at (0.248, 0.248, 0.494) and Dy at (0.000, 0.000, 0.500).

Its formation energy is 548 meV per atom. The calculation puts the uncorrected energy at -4.21 eV per atom.

---

# 2
DFT (PBE) results for an optimized crystal structure of LaSm3Dy.

The structure belongs to space group P-1 (No. 2); the cell edges are 6.377, 6.912 and 9.408 Å and the angles 108.38°, 90.10° and 117.44°. Symmetry generates all atoms from La at (0.030, 0.399, 0.153), Sm at (0.168, 0.004, 0.251), Sm at (0.235, 0.804, 0.547), Sm at (0.436, 0.203, 0.948) and Dy at (0.363, 0.398, 0.646).

Its formation energy is 30 meV per atom. The calculation puts the uncorrected energy at -4.71 eV per atom.

---

# 3
DFT (PBE) results for an optimized crystal structure of La5Sm5Dy2.

The structure belongs to space group C2/m (No. 12); the cell edges are 15.615, 5.195 and 11.525 Å and the angles 90.00°, 116.74° and 90.00°. Symmetry generates all atoms from La at (0.000, 0.000, 0.000), La at (0.082, 0.000, 0.747), La at (0.249, 0.000, 0.253), Sm at (0.000, 0.500, 0.500), Sm at (0.085, 0.500, 0.255), Sm at (0.167, 0.500, 0.000) and Dy at (0.167, 0.000, 0.500).

Its formation energy is 23 meV per atom. The calculation puts the uncorrected energy at -4.76 eV per atom.

---

# 4
DFT (PBE) results for an optimized crystal structure of La2Sm7Dy2.

The structure belongs to space group C2/m (No. 12); the cell edges are 12.329, 6.685 and 9.489 Å and the angles 90.00°, 90.15° and 90.00°. Symmetry generates all atoms from La at (0.000, 0.249, 0.000), Sm at (0.000, 0.000, 0.322), Sm at (0.000, 0.500, 0.500), Sm at (0.249, 0.250, 0.816) and Dy at (0.230, 0.000, 0.500).

Its formation energy is 326 meV per atom. The calculation puts the uncorrected energy at -4.41 eV per atom.

---

# 5
DFT (PBE) results for an optimized crystal structure of La2Sm4Dy3.

The structure belongs to space group C2/m (No. 12); the cell edges are 6.249, 12.446 and 8.605 Å and the angles 90.00°, 111.28° and 90.00°. Symmetry generates all atoms from La at (0.114, 0.000, 0.228), Sm at (0.188, 0.355, 0.375), Dy at (0.000, 0.500, 0.000) and Dy at (0.250, 0.250, 0.000).

Its formation energy is 168 meV per atom. The calculation puts the uncorrected energy at -4.56 eV per atom.

---

# 6
DFT (PBE) results for an optimized crystal structure of La2Sm5Dy.

The structure belongs to space group Cmcm (No. 63); the cell edges are 5.726, 12.030 and 16.298 Å and the angles 90.00°, 90.00° and 90.00°. Symmetry generates all atoms from La at (0.000, 0.219, 0.130), Sm at (0.000, 0.079, 0.591), Sm at (0.000, 0.383, 0.551), Sm at (0.000, 0.463, 0.250) and Dy at (0.000, 0.258, 0.750).

Its formation energy is 128 meV per atom. The calculation puts the uncorrected energy at -4.63 eV per atom.